# 1
{
  "formula": "LiIBr5",
  "functional": "PBE",
  "state": "optimized geometry",
  "formation_energy_uncorrected_ev_per_atom": -0.41,
  "cell": [[-7.166, -3.947, -2.755], [5.225, -8.995, -4.992], [0.946, 1.930, 7.484]],
  "species": ["Br", "Br", "Br", "Br", "Br", "Br", "Br", "Br", "Br", "Br", "Li", "Li", "I", "I"],
  "fractional_positions": [[0.715, 0.211, 0.547], [0.413, 0.281, 0.746], [0.925, 0.372, 0.340], [0.285, 0.789, 0.453], [0.075, 0.628, 0.660], [0.738, 0.060, 0.940], [0.176, 0.131, 0.909], [0.262, 0.940, 0.060], [0.587, 0.719, 0.254], [0.824, 0.869, 0.091], [0.500, 0.000, 0.000], [0.500, 0.000, 0.500], [0.080, 0.253, 0.676], [0.920, 0.747, 0.324]]
}


# 2
{
  "formula": "Li3IBr",
  "functional": "PBE",
  "state": "optimized geometry",
  "formation_energy_uncorrected_ev_per_atom": -0.59,
  "e_above_lowest_polymorph_kj_per_mol_atoms": 16.3,
  "cell": [[5.309, 0.000, 0.000], [0.000, 5.309, 0.000], [0.000, 0.000, 5.309]],
  "species": ["Li", "Li", "Li", "Br", "I"],
  "fractional_positions": [[0.500, 0.000, 0.000], [0.000, 0.000, 0.500], [0.000, 0.500, 0.000], [0.500, 0.500, 0.500], [0.000, 0.000, 0.000]]
}